Here is an optimized crystal structure of Na3Ti3CrO8 from Alexandria via LeMat-Bulk. Energies are from PBE with a Hubbard U.

Values from the calculation:
As for the density of states at the Fermi level: 0.234 states/eV per atom. As for the total energy: -0.2727 Ha/atom.

Unit cell a=6.0041 b=6.0041 c=16.6194 alpha=90.00 beta=90.00 gamma=120.00
Space group R-3m (No. 166, hexagonal axes)
Unique sites:
Na 0.0000 0.5000 0.0000
Ti 0.0000 0.5000 0.5000
Cr 0.0000 0.0000 0.5000
O 0.0000 0.0000 0.2355
O 0.0024 0.5012 0.2310


Here is an optimized crystal structure of NaTlCrO4 from Alexandria via LeMat-Bulk. Energies are from PBE with a Hubbard U.

Values from the calculation:
As for the density of states at the Fermi level: 0.000 states/eV per atom. As for the total energy: -0.2126 Ha/atom.

Unit cell a=5.976 b=6.012 c=7.227 alpha=90.00 beta=106.00 gamma=90.00
Space group P2_1/m (No. 11)
Unique sites:
Na 0.202 0.250 0.050
Tl 0.283 0.250 0.581
Cr 0.260 0.750 0.840
O 0.087 0.525 0.800
O 0.425 0.750 0.065
O 0.432 0.750 0.693


Here is an optimized crystal structure of NaTlCr2O8 from Alexandria via LeMat-Bulk. Energies are from PBE with a Hubbard U.

Values from the calculation:
As for the total energy: -0.2190 Ha/atom.

Unit cell a=7.214 b=7.214 c=6.296 alpha=90.00 beta=90.00 gamma=90.00
Space group I-4m2 (No. 119)
Unique sites:
Na 0.000 0.000 0.000
Tl 0.000 0.500 0.750
Cr 0.000 0.000 0.500
Cr 0.000 0.500 0.250
O 0.000 0.186 0.658
O 0.000 0.317 0.087


Here is an optimized crystal structure of Na3TmCr2O6 from Alexandria via LeMat-Bulk. Energies are from PBE with a Hubbard U.

Values from the calculation:
As for the density of states at the Fermi level: 0.000 states/eV per atom. As for the total energy: -0.2440 Ha/atom.

Unit cell a=5.438 b=9.425 c=5.765 alpha=90.00 beta=108.23 gamma=90.00
Space group C2/m (No. 12)
Unique sites:
Na 0.000 0.000 0.000
Na 0.000 0.329 0.000
Tm 0.000 0.500 0.500
Cr 0.000 0.167 0.500
O 0.214 0.000 0.704
O 0.244 0.323 0.702


Here is an optimized crystal structure of Na3Tm3CrO8 from Alexandria via LeMat-Bulk. Energies are from PBE with a Hubbard U.

Values from the calculation:
As for the total energy: -0.2536 Ha/atom.

Unit cell a=6.5459 b=6.5459 c=16.6095 alpha=90.00 beta=90.00 gamma=120.00
Space group R-3m (No. 166, hexagonal axes)
Unique sites:
Na 0.0000 0.5000 0.0000
Tm 0.0000 0.5000 0.5000
Cr 0.0000 0.0000 0.5000
O 0.0000 0.0000 0.2360
O 0.0341 0.5171 0.2311


Here is an optimized crystal structure of Na2TmCrO4 from Alexandria via LeMat-Bulk. Energies are from PBE with a Hubbard U.

Values from the calculation:
As for the density of states at the Fermi level: 0.000 states/eV per atom. As for the total energy: -0.2443 Ha/atom.

Unit cell a=5.510 b=3.222 c=5.804 alpha=90.00 beta=108.73 gamma=90.00
Space group P2/m (No. 10)
Unique sites:
Na 0.000 0.000 0.000
Na 0.500 0.500 0.000
Tm 0.000 0.500 0.500
Cr 0.500 0.000 0.500
O 0.253 0.000 0.708
O 0.283 0.500 0.299


Here is an optimized crystal structure of NaTmCr2O8 from Alexandria via LeMat-Bulk. Energies are from PBE with a Hubbard U.

Values from the calculation:
As for the density of states at the Fermi level: 0.000 states/eV per atom. As for the total energy: -0.2536 Ha/atom.

Unit cell a=7.203 b=7.203 c=6.184 alpha=90.00 beta=90.00 gamma=90.00
Space group I-4m2 (No. 119)
Unique sites:
Na 0.000 0.000 0.000
Tm 0.000 0.500 0.250
Cr 0.000 0.000 0.500
Cr 0.000 0.500 0.750
O 0.000 0.189 0.344
O 0.000 0.322 0.922


Here is an optimized crystal structure of Na2Tm2CrO6 from Alexandria via LeMat-Bulk. Energies are from PBE with a Hubbard U.

Values from the calculation:
As for the total energy: -0.2542 Ha/atom.

Unit cell a=5.634 b=9.615 c=5.862 alpha=90.00 beta=105.76 gamma=90.00
Space group C2/m (No. 12)
Unique sites:
Na 0.000 0.149 0.000
Tm 0.000 0.336 0.500
Cr 0.000 0.000 0.500
O 0.199 0.152 0.688
O 0.245 0.000 0.305


Here is an optimized crystal structure of Na3Tm2CrO6 from Alexandria via LeMat-Bulk. Energies are from PBE with a Hubbard U.

Values from the calculation:
As for the density of states at the Fermi level: 0.000 states/eV per atom. As for the total energy: -0.2462 Ha/atom.

Unit cell a=5.635 b=9.771 c=5.829 alpha=90.00 beta=108.55 gamma=90.00
Space group C2/m (No. 12)
Unique sites:
Na 0.000 0.000 0.000
Na 0.000 0.342 0.000
Tm 0.000 0.167 0.500
Cr 0.000 0.500 0.500
O 0.225 0.343 0.707
O 0.247 0.500 0.296


Here is an optimized crystal structure of Na4UCr3O14 from Alexandria via LeMat-Bulk. Energies are from PBE with a Hubbard U.

Values from the calculation:
As for the density of states at the Fermi level: 0.000 states/eV per atom. As for the total energy: -0.2476 Ha/atom.

Unit cell a=7.320 b=8.682 c=11.681 alpha=80.59 beta=78.69 gamma=68.76
Space group P-1 (No. 2)
Unique sites:
Na 0.038 0.412 0.177
Na 0.225 0.960 0.713
Na 0.256 0.722 0.019
Na 0.347 0.340 0.548
U 0.316 0.888 0.265
Cr 0.024 0.765 0.542
Cr 0.252 0.159 0.976
Cr 0.483 0.571 0.761
O 0.050 0.100 0.353
O 0.063 0.576 0.608
O 0.067 0.330 0.946
O 0.127 0.839 0.210
O 0.145 0.186 0.543
O 0.227 0.004 0.926
O 0.237 0.777 0.460
O 0.247 0.129 0.123
O 0.255 0.662 0.829
O 0.357 0.469 0.147
O 0.470 0.184 0.911
O 0.472 0.299 0.350
O 0.490 0.070 0.680
O 0.498 0.392 0.709


Here is an optimized crystal structure of Na3UCr3O8 from Alexandria via LeMat-Bulk. Energies are from PBE with a Hubbard U.

Values from the calculation:
As for the density of states at the Fermi level: 0.094 states/eV per atom. As for the total energy: -0.2662 Ha/atom.

Unit cell a=6.224 b=6.332 c=6.602 alpha=117.65 beta=90.28 gamma=118.65
Space group P-1 (No. 2)
Unique sites:
Na 0.000 0.000 0.000
Na 0.000 0.500 0.000
Na 0.500 0.000 0.000
U 0.000 0.500 0.500
Cr 0.000 0.000 0.500
Cr 0.500 0.000 0.500
Cr 0.500 0.500 0.500
O 0.235 0.961 0.692
O 0.260 0.513 0.713
O 0.279 0.055 0.316
O 0.283 0.549 0.304


Here is an optimized crystal structure of NaUCr2O6 from Alexandria via LeMat-Bulk. Energies are from PBE with a Hubbard U.

Values from the calculation:
As for the density of states at the Fermi level: 0.114 states/eV per atom. As for the total energy: -0.2958 Ha/atom.

Unit cell a=5.4301 b=5.4301 c=14.0425 alpha=90.00 beta=90.00 gamma=120.00
Space group R3 (No. 146, hexagonal axes)
Unique sites:
Na 0.0000 0.0000 0.0000
U 0.0000 0.0000 0.4827
Cr 0.0000 0.0000 0.2732
Cr 0.0000 0.0000 0.7805
O 0.0054 0.3836 0.5339
O 0.0223 0.6022 0.0415